! Ba2CdGaPd | Alexandria via LeMat-Bulk | PBE | optimized geometry; values from VASP
! density of states at the Fermi level: 4.85 states/eV per cell
! energy relative to the elements: -370 meV per atom
! energy: -2.966 eV/atom
! symmetry: No. 123
&SYSTEM
  ibrav = 0, nat = 5, ntyp = 4
/
ATOMIC_SPECIES
Ga 69.72 Ga.upf
Ba 137.33 Ba.upf
Pd 106.42 Pd.upf
Cd 112.41 Cd.upf
CELL_PARAMETERS angstrom
6.170 0.000 0.000
0.000 6.170 0.000
0.000 0.000 4.862
ATOMIC_POSITIONS crystal
Ga 0.000 0.000 0.500
Ba 0.000 0.500 0.000
Ba 0.500 0.000 0.000
Pd 0.000 0.000 0.000
Cd 0.500 0.500 0.500

! RhPb3 | Alexandria via LeMat-Bulk | PBE | optimized geometry; values from VASP
! density of states at the Fermi level: 2.70 states/eV per cell
! energy relative to the elements: 54 meV per atom
! energy: -4.565 eV/atom
! symmetry: No. 71
&SYSTEM
  ibrav = 0, nat = 4, ntyp = 2
/
ATOMIC_SPECIES
Rh 102.91 Rh.upf
Pb 207.20 Pb.upf
CELL_PARAMETERS angstrom
-1.706 2.340 6.570
1.706 -2.340 6.570
1.706 2.340 -6.570
ATOMIC_POSITIONS crystal
Rh 0.500 0.000 0.500
Pb 0.683 0.683 0.000
Pb 0.317 0.317 0.000
Pb 0.000 0.500 0.500

! CeHoThAl | Alexandria via LeMat-Bulk | PBE | optimized geometry; values from VASP
! density of states at the Fermi level: 6.45 states/eV per cell
! energy relative to the elements: 16 meV per atom
! energy: -5.402 eV/atom
! symmetry: No. 216
&SYSTEM
  ibrav = 0, nat = 4, ntyp = 4
/
ATOMIC_SPECIES
Ce 140.12 Ce.upf
Ho 164.93 Ho.upf
Th 232.04 Th.upf
Al 26.98 Al.upf
CELL_PARAMETERS angstrom
-0.316 1.924 4.966
1.045 -3.171 4.161
4.441 0.734 2.864
ATOMIC_POSITIONS crystal
Ce 0.000 0.000 0.000
Ho 0.250 0.250 0.250
Th 0.750 0.750 0.750
Al 0.500 0.500 0.500

! MgGaSeBr2 | Alexandria via LeMat-Bulk | PBE | optimized geometry; values from VASP
! density of states at the Fermi level: 1.34 states/eV per cell
! ΔE_f (raw): -322 meV per atom
! energy: -2.613 eV/atom
! symmetry: No. 123
&SYSTEM
  ibrav = 0, nat = 5, ntyp = 4
/
ATOMIC_SPECIES
Mg 24.30 Mg.upf
Ga 69.72 Ga.upf
Se 78.96 Se.upf
Br 79.90 Br.upf
CELL_PARAMETERS angstrom
5.128 0.000 0.000
0.000 5.128 0.000
0.000 0.000 5.167
ATOMIC_POSITIONS crystal
Mg 0.500 0.500 0.500
Ga 0.000 0.000 0.000
Se 0.000 0.000 0.500
Br 0.000 0.500 0.000
Br 0.500 0.000 0.000